Entry 1:
A relaxed VPd2Au4 crystal, computed with GGA-PBE.

Results
The energy above the lowest structure with this stoichiometry comes out at 0.016 eV/atom. For the formation energy, the calculation gives 0.057 eV per atom. The calculation puts the electronic total energy at -4.602 eV/atom. The value obtained for the density is 14.069 Mg/m³.

a b c (Å): 4.8575 9.3543 5.4691
angles (deg): 90.00 92.64 90.00
Space group P2_1/c (No. 14)
Symmetry-distinct sites (fractional):
V: 0.0000 0.0000 0.0000
Pd: 0.2708 0.0600 0.3909
Au: 0.0633 0.7234 0.8331
Au: 0.4654 0.1470 0.9194

***

Entry 2:
A relaxed VPdAu3 crystal, computed with GGA-PBE.

Results
The energy above the lowest structure with this stoichiometry comes out at 0.000 eV/atom. For the formation energy, the calculation gives 0.033 eV per atom. The calculation puts the electronic total energy at -4.796 eV/atom. The value obtained for the density is 14.648 Mg/m³.

a b c (Å): 6.6756 2.8551 9.2405
angles (deg): 90.00 105.57 90.00
Space group P2_1/m (No. 11)
Symmetry-distinct sites (fractional):
V: 0.1488 0.2500 0.0517
Pd: 0.1924 0.7500 0.5603
Au: 0.0122 0.2500 0.7532
Au: 0.3797 0.2500 0.3609
Au: 0.4556 0.2500 0.8584

***

Entry 3:
A relaxed V2Pd7Au3 crystal, computed with GGA-PBE.

Results
For the formation energy, the calculation gives -0.035 eV per atom. The calculation puts the electronic total energy at -5.403 eV/atom. The value obtained for the density is 12.378 Mg/m³.

a b c (Å): 4.8212 2.7835 14.4340
angles (deg): 90.00 95.28 90.00
Space group P2/m (No. 10)
Symmetry-distinct sites (fractional):
V: 0.2195 0.0000 0.3019
Pd: 0.0000 0.5000 0.0000
Pd: 0.1215 0.0000 0.8305
Pd: 0.2406 0.0000 0.4624
Pd: 0.3820 0.5000 0.1670
Au: 0.2701 0.5000 0.6486
Au: 0.5000 0.0000 0.0000

***

Entry 4:
A relaxed V2Pd4Au3 crystal, computed with GGA-PBE.

Results
For the formation energy, the calculation gives -0.113 eV per atom. The calculation puts the electronic total energy at -5.540 eV/atom. The value obtained for the density is 13.134 Mg/m³.

a b c (Å): 9.2175 2.8123 11.7395
angles (deg): 90.00 111.66 90.00
Space group C2/m (No. 12)
Symmetry-distinct sites (fractional):
V: 0.0507 0.0000 0.2203
Pd: 0.1801 0.0000 0.6774
Pd: 0.2156 0.5000 0.8850
Au: 0.0000 0.5000 0.0000
Au: 0.1046 0.5000 0.4370

***

Entry 5:
A relaxed VPd2Au crystal, computed with GGA-PBE.

Results
The energy above the lowest structure with this stoichiometry comes out at 0.052 eV/atom. For the formation energy, the calculation gives -0.145 eV per atom. The calculation puts the electronic total energy at -5.840 eV/atom. The value obtained for the density is 12.294 Mg/m³.

a b c (Å): 2.8063 2.8063 27.3759
angles (deg): 90.00 90.00 120.00
Space group R-3m (No. 166, hexagonal axes)
Symmetry-distinct sites (fractional):
V: 0.0000 0.0000 0.0000
Pd: 0.0000 0.0000 0.2570
Au: 0.0000 0.0000 0.5000

***

Entry 6:
A relaxed V2Pd4Au crystal, computed with GGA-PBE.

Results
The energy above the lowest structure with this stoichiometry comes out at 0.000 eV/atom. For the formation energy, the calculation gives 0.005 eV per atom. The calculation puts the electronic total energy at -6.036 eV/atom. The value obtained for the density is 10.803 Mg/m³.

a b c (Å): 6.7773 5.0998 7.2437
angles (deg): 90.00 117.17 90.00
Space group P2_1/m (No. 11)
Symmetry-distinct sites (fractional):
V: 0.1202 0.2500 0.0690
V: 0.2797 0.2500 0.5013
Pd: 0.1067 0.5030 0.7284
Pd: 0.4680 0.7500 0.6994
Pd: 0.4858 0.7500 0.0753
Au: 0.2589 0.7500 0.2874

***

Entry 7:
A relaxed VPd2Au crystal, computed with GGA-PBE.

Results
The energy above the lowest structure with this stoichiometry comes out at 0.000 eV/atom. For the formation energy, the calculation gives -0.196 eV per atom. The calculation puts the electronic total energy at -5.891 eV/atom. The value obtained for the density is 12.362 Mg/m³.

a b c (Å): 2.8123 2.8123 7.8252
angles (deg): 90.00 90.00 90.00
Space group P4/mmm (No. 123)
Symmetry-distinct sites (fractional):
V: 0.0000 0.0000 0.0000
Pd: 0.5000 0.5000 0.2262
Au: 0.0000 0.0000 0.5000

***

Entry 8:
A relaxed VPdAu crystal, computed with GGA-PBE.

Results
The energy above the lowest structure with this stoichiometry comes out at 0.039 eV/atom. For the formation energy, the calculation gives -0.126 eV per atom. The calculation puts the electronic total energy at -5.989 eV/atom. The value obtained for the density is 12.656 Mg/m³.

a b c (Å): 2.8023 2.8023 11.8403
angles (deg): 90.00 90.00 90.00
Space group I4mm (No. 107)
Symmetry-distinct sites (fractional):
V: 0.0000 0.0000 0.0000
Pd: 0.0000 0.0000 0.6492
Au: 0.0000 0.0000 0.3346

***

Entry 9:
A relaxed VPdAu6 crystal, computed with GGA-PBE.

Results
For the formation energy, the calculation gives 0.005 eV per atom. The calculation puts the electronic total energy at -4.242 eV/atom. The value obtained for the density is 16.009 Mg/m³.

a b c (Å): 5.9308 5.9308 3.9490
angles (deg): 90.00 90.00 90.00
Space group P4/mmm (No. 123)
Symmetry-distinct sites (fractional):
V: 0.0000 0.0000 0.0000
Pd: 0.5000 0.5000 0.0000
Au: 0.0000 0.5000 0.0000
Au: 0.2461 0.2461 0.5000

***

Entry 10:
A relaxed VPd2Au2 crystal, computed with GGA-PBE.

Results
The energy above the lowest structure with this stoichiometry comes out at 0.248 eV/atom. For the formation energy, the calculation gives 0.102 eV per atom. The calculation puts the electronic total energy at -5.110 eV/atom. The value obtained for the density is 12.552 Mg/m³.

a b c (Å): 6.5797 6.5797 4.0196
angles (deg): 90.00 90.00 90.00
Space group P4/mbm (No. 127)
Symmetry-distinct sites (fractional):
V: 0.0000 0.0000 0.0000
Pd: 0.1434 0.3566 0.0000
Au: 0.1600 0.6600 0.5000

***

Entry 11:
A relaxed V2PdAu2 crystal, computed with GGA-PBE.

Results
The energy above the lowest structure with this stoichiometry comes out at 0.096 eV/atom. For the formation energy, the calculation gives 0.266 eV per atom. The calculation puts the electronic total energy at -5.730 eV/atom. The value obtained for the density is 11.615 Mg/m³.

a b c (Å): 3.8001 3.8001 11.9241
angles (deg): 90.00 90.00 90.00
Space group I4/mmm (No. 139)
Symmetry-distinct sites (fractional):
V: 0.0000 0.0000 0.0796
Pd: 0.0000 0.0000 0.5000
Au: 0.0000 0.5000 0.2500

***

Entry 12:
A relaxed V6Pd12Au crystal, computed with GGA-PBE.

Results
For the formation energy, the calculation gives -0.159 eV per atom. The calculation puts the electronic total energy at -6.490 eV/atom. The value obtained for the density is 10.353 Mg/m³.

a b c (Å): 12.0555 12.0555 6.8038
angles (deg): 90.00 90.00 120.00
Space group R-3 (No. 148, hexagonal axes)
Symmetry-distinct sites (fractional):
V: 0.0310 0.7530 0.3396
Pd: 0.0093 0.8670 0.6593
Pd: 0.0649 0.5061 0.6709
Au: 0.0000 0.0000 0.0000